Entry 1:
Entry from Alexandria: a geometry-optimized Tl3TeF structure (PBE).

Cell and atoms, written as extended XYZ:
```
20
Lattice="7.8117 -5.4479 0.0000 7.8117 5.4479 0.0000 -3.0454 0.0000 7.8240" Properties=species:S:1:pos:R:3 pbc="T T T"
Tl 0.1298 0.8366 3.7672
Tl -1.3929 -0.8366 7.6792
Tl 5.9509 2.3287 0.6128
Tl 3.7049 1.1553 5.2297
Tl 8.1497 2.3287 3.2992
Tl 5.2276 -1.1553 1.3177
Tl 7.3503 1.1553 6.5063
Tl 4.4282 -2.3287 4.5248
Tl 8.8730 -1.1553 2.5943
Tl 6.6270 -2.3287 7.2112
Tl 13.9708 0.8366 0.1448
Tl 12.4481 -0.8366 4.0568
Te 3.1182 1.7756 2.0773
Te 1.5955 -1.7756 5.9893
Te 10.9824 1.7756 1.8347
Te 9.4597 -1.7756 5.7467
F 7.0503 4.3488 1.9560
F 5.5276 2.9514 5.8680
F 7.0503 -2.9514 1.9560
F 5.5276 -4.3488 5.8680
```

Output
Energy above the lowest structure with this stoichiometry (eV/f.u.): 0.00
Space-group type: C2/c (15)

Entry 2:
Entry from Alexandria: a geometry-optimized PrDy4Ge4 structure (PBE).

Cell and atoms, written as extended XYZ:
```
18
Lattice="9.3376 0.0000 0.0000 0.0000 9.3376 0.0000 0.0000 0.0000 5.8033" Properties=species:S:1:pos:R:3 pbc="T T T"
Pr 2.3344 2.3344 1.4508
Pr 7.0032 7.0032 4.3525
Dy 0.8639 6.0299 0.8000
Dy 1.3611 8.4738 3.7017
Dy 3.3078 5.5327 3.7017
Dy 3.8049 7.9766 0.8000
Dy 5.5327 1.3611 5.0033
Dy 6.0299 3.8049 2.1016
Dy 7.9766 0.8639 2.1016
Dy 8.4738 3.3078 5.0033
Ge 0.3782 5.6579 3.7325
Ge 0.9891 8.9594 0.8308
Ge 3.6797 5.0470 0.8308
Ge 4.2906 8.3486 3.7325
Ge 5.0470 0.9891 2.0708
Ge 5.6579 4.2906 4.9725
Ge 8.3486 0.3782 4.9725
Ge 8.9594 3.6797 2.0708
```

Output
Energy of formation (meV/atom): -579.9
Space-group type: P4_2/n (86)